1.
Entry from Alexandria via LeMat-Bulk: a relaxed La2Pm6Tm3In crystal (PBE-GGA).

Lattice parameters (Å, degrees): 6.1897 6.1897 11.8916 94.98 94.98 120.04
Positions (direct):
La1 0.1663 0.8337 0.0000
La2 0.8337 0.1663 0.0000
Pm1 0.0910 0.4159 0.7462
Pm2 0.2595 0.2595 0.2543
Pm3 0.4159 0.0910 0.7462
Pm4 0.5841 0.9090 0.2538
Pm5 0.7405 0.7405 0.7457
Pm6 0.9090 0.5841 0.2538
Tm1 0.0000 0.0000 0.5000
Tm2 0.3330 0.6670 0.5000
Tm3 0.6670 0.3330 0.5000
In1 0.5000 0.5000 0.0000

Output
* E_form: -0.0600 eV per atom
* calculated total energy: -4.6026 eV per atom
* space-group type: C2/m

2.
Entry from Alexandria via LeMat-Bulk: a relaxed KMn2FeCl8 crystal (PBE-GGA).

Lattice parameters (Å, degrees): 6.2848 6.2850 8.6795 77.40 77.56 76.89
Positions (direct):
K1 0.0000 0.0000 0.0000
Mn1 0.4517 0.4506 0.2250
Mn2 0.5483 0.5494 0.7750
Fe1 0.0000 0.0000 0.5000
Cl1 0.1941 0.7488 0.7118
Cl2 0.2455 0.8014 0.2899
Cl3 0.2513 0.2440 0.4599
Cl4 0.3370 0.3299 0.0143
Cl5 0.6630 0.6701 0.9857
Cl6 0.7487 0.7560 0.5401
Cl7 0.7545 0.1986 0.7101
Cl8 0.8059 0.2512 0.2882

Output
* calculated total energy: -4.6085 eV per atom
* ΔE_f (raw): -1052 meV per atom
* space-group type: P-1

3.
Entry from Alexandria via LeMat-Bulk: a relaxed PdRuC2Cl crystal (PBE-GGA).

Lattice parameters (Å, degrees): 3.8816 3.8816 5.2125 90.00 90.00 90.00
Positions (direct):
Pd1 0.0000 0.0000 0.0000
Ru1 0.5000 0.5000 0.5000
C1 0.0000 0.5000 0.5000
C2 0.5000 0.0000 0.5000
Cl1 0.5000 0.5000 0.0000

Output
* calculated total energy: -5.5360 eV per atom
* ΔE_f (raw): 1417 meV per atom
* space-group type: P4/mmm

4.
Entry from Alexandria via LeMat-Bulk: a relaxed LiNd2Ni crystal (PBE-GGA).

Lattice parameters (Å, degrees): 3.5426 3.5426 7.9941 90.00 90.00 90.00
Positions (direct):
Li1 0.0000 0.0000 0.0000
Nd1 0.5000 0.5000 0.2938
Nd2 0.5000 0.5000 0.7062
Ni1 0.0000 0.0000 0.5000

Output
* E_form: -0.0748 eV per atom
* calculated total energy: -4.3825 eV per atom
* space-group type: P4/mmm

5.
Entry from Alexandria via LeMat-Bulk: a relaxed InSi2HgSe crystal (PBE-GGA).

Lattice parameters (Å, degrees): 5.2102 5.2102 5.3521 90.00 90.00 90.00
Positions (direct):
In1 0.0000 0.0000 0.0000
Si1 0.0000 0.5000 0.0000
Si2 0.5000 0.0000 0.0000
Hg1 0.5000 0.5000 0.5000
Se1 0.0000 0.0000 0.5000

Output
* calculated total energy: -2.5251 eV per atom
* ΔE_f (raw): 949 meV per atom
* space-group type: P4/mmm

6.
Entry from Alexandria via LeMat-Bulk: a relaxed NaSrBe2F8 crystal (PBE-GGA).

Lattice parameters (Å, degrees): 5.2666 5.2666 7.3848 90.00 90.00 120.00
Positions (direct):
Na1 0.0000 0.0000 0.0000
Sr1 0.0000 0.0000 0.5000
Be1 0.3333 0.6667 0.2914
Be2 0.6667 0.3333 0.7086
F1 0.1690 0.3449 0.2270
F2 0.1758 0.8310 0.2270
F3 0.3333 0.6667 0.5044
F4 0.3449 0.1758 0.7730
F5 0.6551 0.8242 0.2270
F6 0.6667 0.3333 0.4956
F7 0.8242 0.1690 0.7730
F8 0.8310 0.6551 0.7730

Output
* calculated total energy: -5.1601 eV per atom
* ΔE_f (raw): -3041 meV per atom
* space-group type: P-3

7.
Entry from Alexandria via LeMat-Bulk: a relaxed Li3HgIr crystal (PBE-GGA).

Lattice parameters (Å, degrees): 4.6230 4.6230 4.6230 90.00 90.00 90.00
Positions (direct):
Li1 0.0000 0.0000 0.5000
Li2 0.0000 0.5000 0.0000
Li3 0.5000 0.0000 0.0000
Hg1 0.0000 0.0000 0.0000
Ir1 0.5000 0.5000 0.5000

Output
* E_form: 0.6989 eV per atom
* calculated total energy: -2.2819 eV per atom
* ΔE to the lowest computed polymorph: 418 meV/atom
* space-group type: Pm-3m

8.
Entry from Alexandria via LeMat-Bulk: a relaxed SiTcAg2Ir crystal (PBE-GGA).

Lattice parameters (Å, degrees): 4.9481 4.9481 4.3623 90.00 90.00 90.00
Positions (direct):
Si1 0.0000 0.0000 0.0000
Tc1 0.0000 0.0000 0.5000
Ag1 0.0000 0.5000 0.5000
Ag2 0.5000 0.0000 0.5000
Ir1 0.5000 0.5000 0.0000

Output
* calculated total energy: -4.3329 eV per atom
* ΔE_f (raw): 1738 meV per atom
* space-group type: P4/mmm

- Number 7 is which compound?
  Li3HgIr

Please write out number 2 again, unchanged.
Entry from Alexandria via LeMat-Bulk: a relaxed KMn2FeCl8 crystal (PBE-GGA).

Lattice parameters (Å, degrees): 6.2848 6.2850 8.6795 77.40 77.56 76.89
Positions (direct):
K1 0.0000 0.0000 0.0000
Mn1 0.4517 0.4506 0.2250
Mn2 0.5483 0.5494 0.7750
Fe1 0.0000 0.0000 0.5000
Cl1 0.1941 0.7488 0.7118
Cl2 0.2455 0.8014 0.2899
Cl3 0.2513 0.2440 0.4599
Cl4 0.3370 0.3299 0.0143
Cl5 0.6630 0.6701 0.9857
Cl6 0.7487 0.7560 0.5401
Cl7 0.7545 0.1986 0.7101
Cl8 0.8059 0.2512 0.2882

Output
* calculated total energy: -4.6085 eV per atom
* ΔE_f (raw): -1052 meV per atom
* space-group type: P-1

- Among the records above, which one has the highest calculated total energy?
  Li3HgIr